Computed, not measured: a relaxed K2Ag2Ir crystal at the PBE level of DFT.

Cell lengths 6.9467, 6.9467, 5.4287 Å; angles 90.00, 90.00, 90.00 degrees
Fractional coordinates of all 10 atoms:
Ir1 0.5000 0.5000 0.0000
K1 0.3171 0.1829 0.5000
Ag1 0.8593 0.6407 0.0000
Ag2 0.6407 0.1407 0.0000
K2 0.1829 0.6829 0.5000
Ir2 0.0000 0.0000 0.0000
K3 0.8171 0.3171 0.5000
Ag3 0.1407 0.3593 0.0000
K4 0.6829 0.8171 0.5000
Ag4 0.3593 0.8593 0.0000

- DFT formation energy: 2.34 eV/f.u.
- SG: P4/mbm (127)

=====

Computed, not measured: a relaxed Hf6CoN4 crystal at the PBE level of DFT.

Cell lengths 3.2340, 5.6533, 16.8799 Å; angles 90.00, 90.00, 106.62 degrees
Fractional coordinates of all 22 atoms:
Hf1 0.9576 0.9152 0.8441
Hf2 0.3385 0.6769 0.2500
Hf3 0.0424 0.0848 0.3441
N1 0.1370 0.2740 0.4610
N2 0.4062 0.8124 0.3798
Hf4 0.0424 0.0848 0.1559
Hf5 0.5000 0.0000 0.5000
N3 0.4062 0.8124 0.1202
Co1 0.6597 0.3194 0.2500
N4 0.8630 0.7260 0.5390
Hf6 0.7739 0.5479 0.4185
N5 0.8630 0.7260 0.9610
N6 0.1370 0.2740 0.0390
Hf7 0.6615 0.3231 0.7500
Hf8 0.9576 0.9152 0.6559
N7 0.5938 0.1876 0.8798
N8 0.5938 0.1876 0.6202
Hf9 0.2261 0.4521 0.5815
Hf10 0.5000 0.0000 0.0000
Hf11 0.7739 0.5479 0.0815
Hf12 0.2261 0.4521 0.9185
Co2 0.3403 0.6806 0.7500

- Uncorrected formation energy: -1420 meV per atom
- SG: Cmcm (63)

=====

Computed, not measured: a relaxed NdCdPt crystal at the PBE level of DFT.

Cell lengths 3.6701, 4.7331, 4.7331 Å; angles 120.00, 90.00, 90.00 degrees
Fractional coordinates of all 3 atoms:
Pt1 0.1661 0.0000 0.0000
Cd1 0.1670 0.3333 0.6667
Nd1 0.6669 0.6667 0.3333

- DFT formation energy: -1.99 eV/f.u.
- SG: P-6m2 (187)

=====

Computed, not measured: a relaxed La2PmHfAs4 crystal at the PBE level of DFT.

Cell lengths 4.1767, 7.2451, 7.2760 Å; angles 109.17, 90.00, 90.00 degrees
Fractional coordinates of all 8 atoms:
As1 0.5000 0.2286 0.2246
As2 0.5000 0.7714 0.7754
Hf1 0.0000 0.0000 0.0000
Pm1 0.5000 0.5000 0.0000
As3 0.0000 0.7586 0.2330
As4 0.0000 0.2414 0.7670
La1 0.5000 0.0000 0.5000
La2 0.0000 0.5000 0.5000

- DFT formation energy: -11.19 eV/f.u.
- SG: P2/m (10)

=====

Computed, not measured: a relaxed Re2SiPb crystal at the PBE level of DFT.

Cell lengths 4.9731, 4.9731, 4.9731 Å; angles 131.89, 131.89, 70.40 degrees
Fractional coordinates of all 4 atoms:
Si1 0.5000 0.5000 0.0000
Re1 0.0000 0.0000 0.0000
Re2 0.2500 0.7500 0.5000
Pb1 0.7500 0.2500 0.5000

- Uncorrected formation energy: 958 meV per atom
- SG: I-4m2 (119)

=====

Computed, not measured: a relaxed Pr6Nd2Cd crystal at the PBE level of DFT.

Cell lengths 5.1660, 10.9237, 10.9245 Å; angles 90.01, 89.99, 90.00 degrees
Fractional coordinates of all 18 atoms:
Pr1 0.5003 0.1706 0.9992
Pr2 0.0000 0.9993 0.8294
Pr3 0.5000 0.4993 0.6705
Pr4 0.9997 0.6630 0.8371
Cd1 0.0000 0.0000 0.5000
Nd1 0.5004 0.1652 0.3346
Pr5 0.4997 0.8294 0.0008
Nd2 0.0004 0.3347 0.8346
Pr6 0.9997 0.6705 0.5008
Pr7 0.0003 0.3370 0.1629
Pr8 0.5003 0.1630 0.6629
Pr9 0.5000 0.5007 0.3295
Pr10 0.0000 0.0007 0.1706
Cd2 0.5000 0.5000 0.0000
Pr11 0.0003 0.3295 0.4992
Pr12 0.4997 0.8370 0.3371
Nd3 0.9996 0.6653 0.1654
Nd4 0.4996 0.8348 0.6654

- DFT formation energy: -0.17 eV/f.u.
- SG: P4_2/mnm (136)

=====

Computed, not measured: a relaxed KPt3 crystal at the PBE level of DFT.

Cell lengths 4.7018, 4.7018, 4.7018 Å; angles 60.00, 60.00, 60.00 degrees
Fractional coordinates of all 4 atoms:
Pt1 0.2500 0.2500 0.2500
Pt2 0.5000 0.5000 0.5000
Pt3 0.7500 0.7500 0.7500
K1 0.0000 0.0000 0.0000

- DFT formation energy: 2.29 eV/f.u.
- SG: Fm-3m (225)

=====

Computed, not measured: a relaxed TlSnBiTe3 crystal at the PBE level of DFT.

Cell lengths 4.4547, 9.7749, 10.1762 Å; angles 100.52, 90.00, 90.00 degrees
Fractional coordinates of all 12 atoms:
Tl1 0.7500 0.8387 0.8042
Te1 0.7500 0.3270 0.5255
Bi1 0.7500 0.3617 0.8427
Te2 0.2500 0.5888 0.8478
Te3 0.7500 0.4112 0.1522
Tl2 0.2500 0.1613 0.1958
Te4 0.2500 0.1254 0.8295
Sn1 0.2500 0.1261 0.5361
Bi2 0.2500 0.6383 0.1573
Te5 0.7500 0.8746 0.1705
Te6 0.2500 0.6730 0.4745
Sn2 0.7500 0.8739 0.4639

- Uncorrected formation energy: -258 meV per atom
- SG: P2_1/m (11)

=====

Computed, not measured: a relaxed CoAs2Au crystal at the PBE level of DFT.

Cell lengths 4.4295, 4.4295, 3.3740 Å; angles 90.00, 90.00, 96.03 degrees
Site moments in Bohr magnetons follow the coordinates.
Fractional coordinates of all 4 atoms:
As1 0.0000 0.0000 0.0000  -0.01
Co1 0.0000 0.5000 0.5000  1.18
Au1 0.5000 0.0000 0.5000  0.00
As2 0.5000 0.5000 0.0000  -0.01

- DFT formation energy: 1.34 eV/f.u.
- SG: Cmmm (65)

=====

Computed, not measured: a relaxed Y2Au2Se crystal at the PBE level of DFT.

Cell lengths 7.7513, 7.7513, 4.1409 Å; angles 90.00, 90.00, 90.00 degrees
Fractional coordinates of all 10 atoms:
Au1 0.1274 0.6274 0.5000
Se1 0.0000 0.0000 0.0000
Y1 0.6740 0.1740 0.0000
Y2 0.3260 0.8260 0.0000
Au2 0.6274 0.8726 0.5000
Se2 0.5000 0.5000 0.0000
Y3 0.1740 0.3260 0.0000
Au3 0.3726 0.1274 0.5000
Y4 0.8260 0.6740 0.0000
Au4 0.8726 0.3726 0.5000

- Uncorrected formation energy: -1001 meV per atom
- SG: P4/mbm (127)

=====

Computed, not measured: a relaxed Dy8NiRh2 crystal at the PBE level of DFT.

Cell lengths 6.0697, 7.4486, 7.4486 Å; angles 112.43, 100.90, 100.90 degrees
Fractional coordinates of all 11 atoms:
Dy1 0.5874 0.0850 0.3477
Dy2 0.5874 0.3477 0.0850
Rh1 0.4839 0.3206 0.6929
Dy3 0.9864 0.2037 0.7938
Dy4 0.7996 0.6451 0.6451
Dy5 0.1707 0.3578 0.3578
Dy6 0.9864 0.7938 0.2037
Dy7 0.3683 0.9244 0.6617
Dy8 0.3683 0.6617 0.9244
Ni1 0.1775 0.0012 0.0012
Rh2 0.4839 0.6929 0.3206

- DFT formation energy: -3.63 eV/f.u.
- SG: Cm (8)

=====

Computed, not measured: a relaxed P2Br crystal at the PBE level of DFT.

Cell lengths 8.3655, 8.3655, 5.0669 Å; angles 90.00, 90.00, 156.41 degrees
Fractional coordinates of all 6 atoms:
P1 0.8897 0.1103 0.2500
P2 0.1103 0.8897 0.7500
Br1 0.8485 0.1515 0.7500
P3 0.4813 0.5187 0.2500
Br2 0.1515 0.8485 0.2500
P4 0.5187 0.4813 0.7500

- Uncorrected formation energy: 80 meV per atom
- SG: Cmcm (63)

=====

Number 1: calculated volume 262.0 Å³ per cell. Number 2: calculated volume 295.7 Å³ per cell. Number 3: calculated volume 71.2 Å³ per cell. Number 4: calculated volume 208.0 Å³ per cell. Number 5: calculated volume 66.8 Å³ per cell. Number 6: calculated volume 616.5 Å³ per cell. Number 7: calculated volume 73.5 Å³ per cell. Number 8: calculated volume 435.7 Å³ per cell. Number 9: calculated volume 65.8 Å³ per cell. Number 10: calculated volume 248.8 Å³ per cell. Number 11: calculated volume 292.7 Å³ per cell. Number 12: calculated volume 141.9 Å³ per cell.